Density functional theory data (GGA-PBE) for a relaxed structure of Pm3HoEr3.

Lattice parameters (Å, degrees): 9.587 9.587 5.717 90.00 90.00 120.00
Sites, in units of the cell vectors:
Pm 0.049 0.806 0.250
Pm 0.194 0.243 0.250
Pm 0.243 0.049 0.750
Pm 0.757 0.951 0.250
Pm 0.806 0.757 0.750
Pm 0.951 0.194 0.750
Ho 0.333 0.667 0.250
Ho 0.667 0.333 0.750
Er 0.095 0.617 0.750
Er 0.383 0.479 0.750
Er 0.479 0.095 0.250
Er 0.521 0.905 0.750
Er 0.617 0.521 0.250
Er 0.905 0.383 0.250

SG = P6_3/m
Polymorph energy (0 for the lowest one) = 0 meV per atom
Energy of formation = 0.02 eV/atom